This record from the Alexandria database describes NdHoMgRh after structural relaxation. The functional is GGA-PBE.

abc: 7.251 7.251 7.251
angles: 90.00 90.00 90.00
Element x y z (fractional)
Nd 0.000 0.000 0.000
Nd 0.000 0.500 0.500
Nd 0.500 0.000 0.500
Nd 0.500 0.500 0.000
Ho 0.000 0.000 0.500
Ho 0.000 0.500 0.000
Ho 0.500 0.000 0.000
Ho 0.500 0.500 0.500
Mg 0.250 0.250 0.750
Mg 0.250 0.750 0.250
Mg 0.750 0.250 0.250
Mg 0.750 0.750 0.750
Rh 0.250 0.250 0.250
Rh 0.250 0.750 0.750
Rh 0.750 0.250 0.750
Rh 0.750 0.750 0.250

Summary:
space-group type: F-43m (216)
energy relative to the elements: -34 kJ/mol of atoms
N(E_F): 6.93 states/eV per cell
energy: -4.927 eV per atom
M_tot: 0.000 μB/atom